Record 1
The following is a DFT calculation (PBE-GGA) of a geometry-optimized Ac7LaRu3 structure.

## Properties
ρ = 7.94 g/cm3
DFT formation energy = -0.1733 eV/atom
calculated total energy = -5.7655 eV per atom

a b c (Å): 13.6748 8.4978 9.9744
angles (deg): 90.00 132.84 90.00
With the nearest neighbours (Å) after each atom.
Space group Cm (No. 8)
Symmetry-distinct sites (fractional):
Ac 0.0000 0.0000 0.0000 (multiplicity 2)  3 Ru 2.95-2.96
Ac 0.0036 0.5000 0.0035 (multiplicity 2)  2 Ru 2.91
Ac 0.1552 0.2424 0.8330 (multiplicity 4)  2 Ru 2.92-2.93
Ac 0.2451 0.2576 0.4966 (multiplicity 4)  2 Ru 2.92-2.93
Ac 0.3986 0.0000 0.3276 (multiplicity 2)  2 Ru 2.91
La 0.3935 0.5000 0.3322 (multiplicity 2)  3 Ru 2.82-2.85
Ru 0.2030 0.2521 0.1669 (multiplicity 4)  1 La 2.85, 5 Ac 2.91-2.96
Ru 0.4504 0.5000 0.6619 (multiplicity 2)  1 La 2.82, 5 Ac 2.92-2.95

Record 2
The following is a DFT calculation (PBE-GGA) of a geometry-optimized AlB2P structure.

## Properties
ρ = 2.50 g/cm3
DFT formation energy = 0.2937 eV/atom
calculated total energy = -5.3331 eV per atom
energy relative to the lowest polymorph listed for this composition = 1.10 eV/f.u.

a b c (Å): 4.9455 4.9455 8.6606
angles (deg): 90.00 90.00 90.00
With the nearest neighbours (Å) after each atom.
Space group I-42d (No. 122)
Symmetry-distinct sites (fractional):
Al 0.0000 0.0000 0.0000 (multiplicity 4)  4 B 2.19
B 0.2076 0.2500 0.6250 (multiplicity 8)  2 P 1.94
P 0.0000 0.0000 0.5000 (multiplicity 4)  4 B 1.94

Record 3
The following is a DFT calculation (PBE-GGA) of a geometry-optimized CrReOs2 structure.

## Properties
ρ = 17.96 g/cm3
DFT formation energy = 0.4272 eV/atom
calculated total energy = -10.7056 eV per atom
energy relative to the lowest polymorph listed for this composition = 1.41 eV/f.u.

a b c (Å): 2.8669 4.4526 4.4820
angles (deg): 90.00 90.00 90.00
With the nearest neighbours (Å) after each atom.
Space group Pmmm (No. 47)
Symmetry-distinct sites (fractional):
Cr 0.0000 0.0000 0.0000 (multiplicity 1)  4 Os 2.65, 4 Re 2.66, 2 Cr 2.87
Re 0.5000 0.0000 0.5000 (multiplicity 1)  4 Os 2.65, 4 Cr 2.66, 2 Re 2.87
Os 0.0000 0.5000 0.5000 (multiplicity 1)  4 Re 2.65, 6 Os 2.66-2.87
Os 0.5000 0.5000 0.0000 (multiplicity 1)  4 Cr 2.65, 6 Os 2.66-2.87

Record 4
The following is a DFT calculation (PBE-GGA) of a geometry-optimized La3Tb6Pm2Pr structure.

## Properties
ρ = 7.36 g/cm3
DFT formation energy = 0.0119 eV/atom
calculated total energy = -4.7251 eV per atom

a b c (Å): 6.3181 10.9492 11.9319
angles (deg): 90.00 100.16 90.00
With the nearest neighbours (Å) after each atom.
Space group C2/m (No. 12)
Symmetry-distinct sites (fractional):
La 0.0000 0.0000 0.0000 (multiplicity 2)  6 Tb 3.63-3.64, 6 La 3.65
La 0.0000 0.3333 0.0000 (multiplicity 4)  6 Tb 3.63-3.64, 6 La 3.65
Tb 0.2488 0.0000 0.7479 (multiplicity 4)  2 Pm 3.59, 1 Pr 3.59, 3 La 3.63-3.64, 6 Tb 3.65
Tb 0.2493 0.3331 0.7478 (multiplicity 8)  2 Pm 3.59, 1 Pr 3.59, 3 La 3.63-3.64, 6 Tb 3.65
Pm 0.0000 0.1667 0.5000 (multiplicity 4)  6 Tb 3.59, 3 Pm 3.65, 3 Pr 3.65
Pr 0.0000 0.5000 0.5000 (multiplicity 2)  6 Tb 3.59, 6 Pm 3.65

Record 5
The following is a DFT calculation (PBE-GGA) of a geometry-optimized SrTmMgTl structure.

## Properties
ρ = 6.70 g/cm3
DFT formation energy = -0.1680 eV/atom
calculated total energy = -2.6965 eV per atom

a b c (Å): 7.8338 7.8338 7.8338
angles (deg): 90.00 90.00 90.00
With the nearest neighbours (Å) after each atom.
Space group F-43m (No. 216)
Symmetry-distinct sites (fractional):
Sr 0.0000 0.0000 0.0000 (multiplicity 4)  4 Tl 3.39, 4 Mg 3.39
Tm 0.0000 0.0000 0.5000 (multiplicity 4)  4 Tl 3.39, 4 Mg 3.39
Mg 0.2500 0.2500 0.7500 (multiplicity 4)  4 Tm 3.39, 4 Sr 3.39
Tl 0.2500 0.2500 0.2500 (multiplicity 4)  4 Tm 3.39, 4 Sr 3.39

Record 6
The following is a DFT calculation (PBE-GGA) of a geometry-optimized SrZn2Mo structure.

## Properties
ρ = 5.99 g/cm3
DFT formation energy = 0.7539 eV/atom
calculated total energy = -3.0113 eV per atom
energy relative to the lowest polymorph listed for this composition = 1.88 eV/f.u.

a b c (Å): 7.0369 7.0369 7.0369
angles (deg): 90.00 90.00 90.00
With the nearest neighbours (Å) after each atom.
Space group F-43m (No. 216)
Symmetry-distinct sites (fractional):
Sr 0.0000 0.0000 0.0000 (multiplicity 4)  4 Mo 3.05, 4 Zn 3.05
Zn 0.0000 0.0000 0.5000 (multiplicity 4)  4 Zn 3.05, 4 Mo 3.05
Zn 0.2500 0.2500 0.2500 (multiplicity 4)  4 Sr 3.05, 4 Zn 3.05
Mo 0.2500 0.2500 0.7500 (multiplicity 4)  4 Sr 3.05, 4 Zn 3.05

Record 7
The following is a DFT calculation (PBE-GGA) of a geometry-optimized Tb3PuRh4 structure.

## Properties
ρ = 11.54 g/cm3
DFT formation energy = -0.7158 eV/atom
calculated total energy = -7.9194 eV per atom

a b c (Å): 4.8599 4.8599 13.7933
angles (deg): 90.00 90.00 90.00
With the nearest neighbours (Å) after each atom.
Space group I4/mmm (No. 139)
Symmetry-distinct sites (fractional):
Tb 0.0000 0.0000 0.0000 (multiplicity 2)  8 Rh 2.97
Tb 0.0000 0.0000 0.2508 (multiplicity 4)  8 Rh 2.98-2.99
Pu 0.0000 0.0000 0.5000 (multiplicity 2)  8 Rh 2.97
Rh 0.0000 0.5000 0.1244 (multiplicity 8)  2 Pu 2.97, 6 Tb 2.97-2.99

Record 8
The following is a DFT calculation (PBE-GGA) of a geometry-optimized SrRu2W structure.

## Properties
ρ = 9.39 g/cm3
DFT formation energy = 0.5039 eV/atom
calculated total energy = -7.7928 eV per atom
energy relative to the lowest polymorph listed for this composition = 0.90 eV/f.u.

a b c (Å): 8.7499 3.1023 6.3365
angles (deg): 90.00 103.19 90.00
With the nearest neighbours (Å) after each atom.
Space group C2/m (No. 12)
Symmetry-distinct sites (fractional):
Sr 0.0000 0.0000 0.0000 (multiplicity 2)  2 Sr 3.10, 6 Ru 3.23-3.26
Ru 0.2230 0.0000 0.6571 (multiplicity 4)  2 W 2.51, 2 Ru 2.65
W 0.0000 0.5000 0.5000 (multiplicity 2)  4 Ru 2.51

DFT formation energy of number 4 (La3Tb6Pm2Pr)? 0.0119 eV/atom

Among the records above, which one has the lowest ρ? AlB2P

The highest ρ belongs to which entry? CrReOs2

Which value of ρ does entry 1 give? 7.94 g/cm3